Density functional theory data (GGA+U) for crystalline KNdV4O12 at its relaxed geometry.

Results
Total DFT energy (no corrections)   -132.626 eV/cell
M_tot   0.00 μB/f.u.

a b c (Å): 6.2926 6.2926 7.2466
angles (deg): 90.00 90.00 112.83
Last column: nearest neighbours and their distance in Å.
Fractional positions:
O 0.7811 0.6764 0.2989  1 V 1.67
O 0.5399 0.9903 0.5000  2 V 1.92
O 0.7811 0.6764 0.7011  1 V 1.67
O 0.7719 0.2281 0.7804  2 V 1.84
O 0.2738 0.7262 0.7391  2 V 1.91
O 0.3236 0.2189 0.2989  1 V 1.67
O 0.9766 0.5718 0.0000  2 V 1.85
O 0.3236 0.2189 0.7011  1 V 1.67
O 0.7719 0.2281 0.2196  2 V 1.84
O 0.0097 0.4601 0.5000  2 V 1.92
O 0.4282 0.0234 0.0000  2 V 1.85
O 0.2738 0.7262 0.2609  2 V 1.91
V 0.9520 0.5348 0.2531  3 O 1.67-1.85
V 0.9520 0.5348 0.7469  3 O 1.67-1.85
V 0.4652 0.0480 0.2531  3 O 1.67-1.85
V 0.4652 0.0480 0.7469  3 O 1.67-1.85
K 0.9784 0.0216 0.0000  8 O 2.69-2.98
Nd 0.4296 0.5704 0.5000  8 O 2.38-2.51